Entry 1:
# TiNbMo2Os

TiNbMo2Os after structural relaxation (PBEsol, Alexandria).

Lattice parameters (Å, degrees): 4.424 4.424 4.496 90.00 90.00 90.00
Element x y z (fractional)
Ti 0.000 0.000 0.000
Nb 0.500 0.500 0.500
Mo 0.000 0.500 0.000
Mo 0.500 0.000 0.000
Os 0.000 0.000 0.500

Values from the calculation:
Space-group type: No. 123
DOS at the Fermi energy in states/eV per atom: 1.016
Calculated formation energy in kcal/mol of atoms: 30.981
Energy in eV/f.u.: -48.2

***

Entry 2:
# Al2HgSe

Al2HgSe after structural relaxation (PBEsol, Alexandria).

Lattice parameters (Å, degrees): 5.222 5.222 2.814 90.00 90.00 90.00
Element x y z (fractional)
Al 0.000 0.500 0.000
Al 0.500 0.000 0.000
Hg 0.000 0.000 0.500
Se 0.500 0.500 0.000

Values from the calculation:
Space-group type: No. 123
DOS at the Fermi energy in states/eV per atom: 0.234
Energy in eV/f.u.: -13.1
Raw formation energy in meV/atom: -121

***

Entry 3:
# K3C2

K3C2 after structural relaxation (PBEsol, Alexandria).

Lattice parameters (Å, degrees): 5.003 5.003 6.242 90.00 90.00 120.00
Element x y z (fractional)
K 0.000 0.000 0.000
K 0.333 0.667 0.309
K 0.667 0.333 0.691
C 0.333 0.667 0.789
C 0.667 0.333 0.211

Values from the calculation:
Space-group type: No. 164
DOS at the Fermi energy in states/eV per atom: 0.596
Calculated formation energy in kcal/mol of atoms: 41.646
Energy in eV/f.u.: -13.7

***

Entry 4:
# InCo2W

InCo2W after structural relaxation (PBEsol, Alexandria).

Lattice parameters (Å, degrees): 2.807 2.807 7.079 90.00 90.00 90.00
Element x y z (fractional)
In 0.000 0.000 0.000
Co 0.000 0.000 0.547
Co 0.500 0.500 0.738
W 0.500 0.500 0.316

Values from the calculation:
Space-group type: No. 99
DOS at the Fermi energy in states/eV per atom: 0.855
Calculated formation energy in kcal/mol of atoms: 6.523
Energy in eV/f.u.: -31.1

***

Entry 5:
# LiSiRh4

LiSiRh4 after structural relaxation (PBEsol, Alexandria).

Lattice parameters (Å, degrees): 5.005 5.005 5.005 60.00 60.00 60.00
Element x y z (fractional)
Li 0.000 0.000 0.000
Si 0.750 0.750 0.750
Rh 0.375 0.375 0.375
Rh 0.375 0.375 0.874
Rh 0.375 0.874 0.375
Rh 0.874 0.375 0.375

Values from the calculation:
Space-group type: No. 216
DOS at the Fermi energy in states/eV per atom: 1.163
Energy in eV/f.u.: -39.1
Raw formation energy in meV/atom: 197

***

Entry 6:
# TePt2Pb

TePt2Pb after structural relaxation (PBEsol, Alexandria).

Lattice parameters (Å, degrees): 4.869 4.869 4.869 121.70 121.70 87.08
Element x y z (fractional)
Te 0.000 0.000 0.000
Pt 0.250 0.750 0.500
Pt 0.750 0.250 0.500
Pb 0.500 0.500 0.000

Values from the calculation:
Space-group type: No. 139
DOS at the Fermi energy in states/eV per atom: 0.556
Energy in eV/f.u.: -21.1
Raw formation energy in meV/atom: 87